YZr2Sc: optimized geometry, PBE.

Summary:
ΔE to the lowest computed polymorph (eV per atom): 0.065
Energy of formation (kcal/mol of atoms): 2.2
SG: R-3m
Magnetization (Bohr magnetons per cell): 0.0

extended XYZ file:
```
4
Lattice="1.6272 0.9395 10.9584 -1.6272 0.9395 10.9584 0.0000 -1.8789 10.9584" Properties=species:S:1:pos:R:3 pbc="T T T"
Y 0.0000 0.0000 0.0000
Zr 0.0000 0.0000 8.1289
Zr 0.0000 0.0000 24.7462
Sc 0.0000 0.0000 16.4376
```

=====

Y2ZrSc: optimized geometry, PBE.

Summary:
ΔE to the lowest computed polymorph (eV per atom): 0.050
Energy of formation (kcal/mol of atoms): 2.2
SG: P4/mmm
Magnetization (Bohr magnetons per cell): 0.0

extended XYZ file:
```
4
Lattice="3.3897 0.0000 0.0000 0.0000 3.3897 0.0000 0.0000 0.0000 9.6232" Properties=species:S:1:pos:R:3 pbc="T T T"
Y 0.0000 0.0000 2.3295
Y 0.0000 0.0000 7.2938
Zr 1.6949 1.6949 0.0000
Sc 1.6949 1.6949 4.8116
```